Crystalline FePdSe2N at its relaxed geometry, computed with GGA-PBE.

a = 5.151 Å, b = 5.151 Å, c = 3.668 Å
α = 90.00°, β = 90.00°, γ = 90.00°
Sites, in units of the cell vectors:
1 Fe 0.000 0.000 0.000
2 Pd 0.500 0.500 0.500
3 Se 0.000 0.500 0.500
4 Se 0.500 0.000 0.500
5 N 0.500 0.500 0.000

Output
Its total magnetic moment is 4.18 Bohr magnetons per cell. The space-group type is P4/mmm, No. 123. The formation energy (no corrections) is 0.9957 eV per atom. The uncorrected energy is -24.0 eV/cell. Its density of states at the Fermi level is 7.19 states/eV/cell.


Crystalline Tb4Sm2Dy7 at its relaxed geometry, computed with GGA-PBE.

a = 6.158 Å, b = 7.946 Å, c = 9.425 Å
α = 65.13°, β = 89.74°, γ = 82.56°
Sites, in units of the cell vectors:
1 Tb 0.038 0.269 0.153
2 Tb 0.192 0.345 0.770
3 Tb 0.808 0.655 0.230
4 Tb 0.962 0.731 0.847
5 Sm 0.346 0.423 0.384
6 Sm 0.654 0.577 0.616
7 Dy 0.115 0.809 0.461
8 Dy 0.269 0.885 0.077
9 Dy 0.424 0.961 0.693
10 Dy 0.500 0.500 0.000
11 Dy 0.576 0.039 0.307
12 Dy 0.731 0.115 0.923
13 Dy 0.885 0.191 0.539

Output
Its formation energy is 0.160 eV/f.u. Its total magnetic moment is 0.00 Bohr magnetons per cell. The space-group type is P-1, No. 2. The uncorrected energy is -60.0 eV/cell. Its density of states at the Fermi level is 15.22 states/eV/cell.


Crystalline K2ZrPb2 at its relaxed geometry, computed with GGA-PBE.

a = 7.957 Å, b = 7.957 Å, c = 6.016 Å
α = 90.00°, β = 90.00°, γ = 90.00°
Sites, in units of the cell vectors:
1 K 0.157 0.343 0.000
2 K 0.343 0.843 0.000
3 K 0.657 0.157 0.000
4 K 0.843 0.657 0.000
5 Zr 0.000 0.000 0.500
6 Zr 0.500 0.500 0.500
7 Pb 0.174 0.674 0.500
8 Pb 0.326 0.174 0.500
9 Pb 0.674 0.826 0.500
10 Pb 0.826 0.326 0.500

Output
Its formation energy is 0.949 eV/f.u. Its total magnetic moment is 0.92 Bohr magnetons per cell. The space-group type is P4/mbm, No. 127. The uncorrected energy is -34.4 eV/cell. Its density of states at the Fermi level is 7.29 states/eV/cell.


Crystalline Sc3Hg2Au at its relaxed geometry, computed with GGA-PBE.

a = 3.485 Å, b = 3.485 Å, c = 10.436 Å
α = 90.00°, β = 90.00°, γ = 90.00°
Sites, in units of the cell vectors:
1 Sc 0.000 0.000 0.000
2 Sc 0.000 0.000 0.343
3 Sc 0.000 0.000 0.657
4 Hg 0.500 0.500 0.169
5 Hg 0.500 0.500 0.831
6 Au 0.500 0.500 0.500

Output
Its formation energy is -3.321 eV/f.u. Its total magnetic moment is 0.00 Bohr magnetons per cell. The space-group type is P4/mmm, No. 123. The uncorrected energy is -26.2 eV/cell. Its density of states at the Fermi level is 4.93 states/eV/cell.


Crystalline La2ZnRe at its relaxed geometry, computed with GGA-PBE.

a = 3.572 Å, b = 3.572 Å, c = 8.134 Å
α = 90.00°, β = 90.00°, γ = 90.00°
Sites, in units of the cell vectors:
1 La 0.000 0.000 0.000
2 La 0.500 0.500 0.419
3 Zn 0.500 0.500 0.779
4 Re 0.000 0.000 0.670

Output
Its formation energy is 0.734 eV/f.u. Its total magnetic moment is 0.01 Bohr magnetons per cell. The space-group type is P4mm, No. 99. The uncorrected energy is -22.8 eV/cell. Its density of states at the Fermi level is 4.74 states/eV/cell.


Crystalline PrZrSi at its relaxed geometry, computed with GGA-PBE.

a = 4.287 Å, b = 4.287 Å, c = 8.021 Å
α = 90.00°, β = 90.00°, γ = 90.00°
Sites, in units of the cell vectors:
1 Pr 0.250 0.250 0.147
2 Pr 0.750 0.750 0.853
3 Zr 0.250 0.750 0.500
4 Zr 0.750 0.250 0.500
5 Si 0.250 0.250 0.737
6 Si 0.750 0.750 0.263

Output
Its total magnetic moment is 0.79 Bohr magnetons per cell. The space-group type is P4/nmm, No. 129. The formation energy (no corrections) is -0.5798 eV per atom. The uncorrected energy is -41.0 eV/cell. Its density of states at the Fermi level is 7.43 states/eV/cell.


Crystalline ThZn4Co4 at its relaxed geometry, computed with GGA-PBE.

a = 6.279 Å, b = 6.279 Å, c = 6.279 Å
α = 96.26°, β = 96.26°, γ = 141.45°
Sites, in units of the cell vectors:
1 Th 0.000 0.000 0.000
2 Zn 0.144 0.554 0.698
3 Zn 0.446 0.144 0.590
4 Zn 0.554 0.856 0.410
5 Zn 0.856 0.446 0.302
6 Co 0.196 0.273 0.469
7 Co 0.273 0.804 0.077
8 Co 0.727 0.196 0.923
9 Co 0.804 0.727 0.531

Output
Its formation energy is 1.230 eV/f.u. Its total magnetic moment is 3.02 Bohr magnetons per cell. The space-group type is I4/m, No. 87. The uncorrected energy is -39.7 eV/cell. Its density of states at the Fermi level is 8.08 states/eV/cell.


Crystalline Cr2CoSe at its relaxed geometry, computed with GGA-PBE.

a = 2.711 Å, b = 2.711 Å, c = 7.858 Å
α = 90.00°, β = 90.00°, γ = 111.90°
Sites, in units of the cell vectors:
1 Cr 0.000 0.000 0.000
2 Cr 0.500 0.500 0.220
3 Co 0.000 0.000 0.455
4 Se 0.500 0.500 0.730

Output
Its total magnetic moment is 0.94 Bohr magnetons per cell. The space-group type is Cmm2, No. 35. The formation energy (no corrections) is 0.4569 eV per atom. The uncorrected energy is -28.0 eV/cell. Its density of states at the Fermi level is 5.11 states/eV/cell.


Crystalline NaH2S at its relaxed geometry, computed with GGA-PBE.

a = 3.883 Å, b = 3.883 Å, c = 3.883 Å
α = 60.00°, β = 60.00°, γ = 60.00°
Sites, in units of the cell vectors:
1 Na 0.000 0.000 0.000
2 H 0.250 0.250 0.250
3 H 0.750 0.750 0.750
4 S 0.500 0.500 0.500

Output
Its total magnetic moment is 0.00 Bohr magnetons per cell. The space-group type is Fm-3m, No. 225. The uncorrected energy is -10.5 eV/cell. Its density of states at the Fermi level is 1.37 states/eV/cell.


Crystalline Ta3InPb at its relaxed geometry, computed with GGA-PBE.

a = 5.053 Å, b = 5.053 Å, c = 5.053 Å
α = 90.00°, β = 90.00°, γ = 90.00°
Sites, in units of the cell vectors:
1 Ta 0.000 0.000 0.500
2 Ta 0.000 0.500 0.000
3 Ta 0.500 0.000 0.000
4 In 0.000 0.000 0.000
5 Pb 0.500 0.500 0.500

Output
Its formation energy is 9.877 eV/f.u. Its total magnetic moment is 0.00 Bohr magnetons per cell. The space-group type is Pm-3m, No. 221. The uncorrected energy is -32.1 eV/cell. Its density of states at the Fermi level is 10.47 states/eV/cell.


Crystalline Ac4CuSn at its relaxed geometry, computed with GGA-PBE.

a = 5.426 Å, b = 5.427 Å, c = 7.896 Å
α = 90.06°, β = 90.02°, γ = 90.00°
Sites, in units of the cell vectors:
1 Ac 0.000 0.000 0.000
2 Ac 0.000 0.000 0.464
3 Ac 0.500 0.499 0.464
4 Ac 0.500 0.500 0.000
5 Cu 0.999 0.501 0.232
6 Sn 0.500 0.000 0.732

Output
Its formation energy is -0.648 eV/f.u. Its total magnetic moment is 0.00 Bohr magnetons per cell. The space-group type is P1, No. 1. The uncorrected energy is -25.2 eV/cell. Its density of states at the Fermi level is 9.96 states/eV/cell.


Crystalline VTcRu3 at its relaxed geometry, computed with GGA-PBE.

a = 4.401 Å, b = 4.401 Å, c = 4.401 Å
α = 90.00°, β = 90.00°, γ = 90.00°
Sites, in units of the cell vectors:
1 V 0.000 0.000 0.000
2 Tc 0.500 0.500 0.500
3 Ru 0.000 0.000 0.500
4 Ru 0.000 0.500 0.000
5 Ru 0.500 0.000 0.000

Output
Its formation energy is 6.612 eV/f.u. Its total magnetic moment is 2.95 Bohr magnetons per cell. The space-group type is Pm-3m, No. 221. The uncorrected energy is -40.7 eV/cell. Its density of states at the Fermi level is 7.46 states/eV/cell.


Crystalline K2PaPbO5 at its relaxed geometry, computed with GGA-PBE.

a = 4.298 Å, b = 4.298 Å, c = 9.037 Å
α = 90.00°, β = 90.00°, γ = 90.00°
Sites, in units of the cell vectors:
1 K 0.000 0.000 0.222
2 K 0.000 0.000 0.778
3 Pa 0.500 0.500 0.000
4 Pb 0.500 0.500 0.500
5 O 0.000 0.000 0.500
6 O 0.000 0.500 0.000
7 O 0.500 0.000 0.000
8 O 0.500 0.500 0.240
9 O 0.500 0.500 0.760

Output
Its total magnetic moment is 0.18 Bohr magnetons per cell. The space-group type is P4/mmm, No. 123. The formation energy (no corrections) is -2.0699 eV per atom. The uncorrected energy is -58.8 eV/cell. Its density of states at the Fermi level is 5.66 states/eV/cell.


Crystalline SrMgTa2 at its relaxed geometry, computed with GGA-PBE.

a = 5.919 Å, b = 5.919 Å, c = 5.919 Å
α = 138.10°, β = 138.10°, γ = 60.75°
Sites, in units of the cell vectors:
1 Sr 0.000 0.000 0.000
2 Mg 0.500 0.500 0.000
3 Ta 0.250 0.750 0.500
4 Ta 0.750 0.250 0.500

Output
Its formation energy is 3.719 eV/f.u. Its total magnetic moment is 0.00 Bohr magnetons per cell. The space-group type is I4/mmm, No. 139. The uncorrected energy is -23.3 eV/cell. Its density of states at the Fermi level is 6.80 states/eV/cell.


Crystalline Pm8SiAs5 at its relaxed geometry, computed with GGA-PBE.

a = 7.775 Å, b = 7.775 Å, c = 7.775 Å
α = 109.50°, β = 109.50°, γ = 109.42°
Sites, in units of the cell vectors:
1 Pm 0.007 0.126 0.750
2 Pm 0.239 0.490 0.616
3 Pm 0.376 0.257 0.250
4 Pm 0.377 0.761 0.251
5 Pm 0.510 0.126 0.749
6 Pm 0.743 0.993 0.119
7 Pm 0.874 0.623 0.384
8 Pm 0.874 0.624 0.881
9 Si 0.750 0.250 0.500
10 As 0.000 0.376 0.126
11 As 0.125 0.000 0.376
12 As 0.250 0.875 0.874
13 As 0.500 0.500 0.000
14 As 0.624 0.750 0.624

Output
Its total magnetic moment is 0.00 Bohr magnetons per cell. The space-group type is I-4, No. 82. The formation energy (no corrections) is -1.1830 eV per atom. The uncorrected energy is -83.2 eV/cell. Its density of states at the Fermi level is 13.06 states/eV/cell.


Crystalline Be2AgSF at its relaxed geometry, computed with GGA-PBE.

a = 4.527 Å, b = 4.527 Å, c = 4.083 Å
α = 90.00°, β = 90.00°, γ = 90.00°
Sites, in units of the cell vectors:
1 Be 0.000 0.500 0.000
2 Be 0.500 0.000 0.000
3 Ag 0.000 0.000 0.000
4 S 0.500 0.500 0.500
5 F 0.000 0.000 0.500

Output
Its total magnetic moment is 0.00 Bohr magnetons per cell. The space-group type is P4/mmm, No. 123. The formation energy (no corrections) is 0.5744 eV per atom. The uncorrected energy is -13.4 eV/cell. Its density of states at the Fermi level is 2.20 states/eV/cell.


Crystalline La6In2NiN at its relaxed geometry, computed with GGA-PBE.

a = 7.387 Å, b = 7.397 Å, c = 7.525 Å
α = 119.35°, β = 119.27°, γ = 90.13°
Sites, in units of the cell vectors:
1 La 0.204 0.281 0.000
2 La 0.231 0.239 0.469
3 La 0.283 0.802 0.008
4 La 0.717 0.198 0.992
5 La 0.769 0.761 0.531
6 La 0.796 0.719 0.000
7 In 0.250 0.751 0.501
8 In 0.750 0.249 0.499
9 Ni 0.500 0.500 0.000
10 N 0.000 0.000 0.000

Output
Its total magnetic moment is 0.00 Bohr magnetons per cell. The space-group type is P-1, No. 2. The formation energy (no corrections) is -0.5198 eV per atom. The uncorrected energy is -54.3 eV/cell. Its density of states at the Fermi level is 10.39 states/eV/cell.


Crystalline Ge2RhPb2 at its relaxed geometry, computed with GGA-PBE.

a = 6.588 Å, b = 6.588 Å, c = 5.131 Å
α = 90.00°, β = 90.00°, γ = 90.00°
Sites, in units of the cell vectors:
1 Ge 0.142 0.358 0.000
2 Ge 0.358 0.858 0.000
3 Ge 0.642 0.142 0.000
4 Ge 0.858 0.642 0.000
5 Rh 0.000 0.000 0.000
6 Rh 0.500 0.500 0.000
7 Pb 0.179 0.679 0.500
8 Pb 0.321 0.179 0.500
9 Pb 0.679 0.821 0.500
10 Pb 0.821 0.321 0.500

Output
Its formation energy is -0.097 eV/f.u. Its total magnetic moment is 0.00 Bohr magnetons per cell. The space-group type is P4/mbm, No. 127. The uncorrected energy is -48.2 eV/cell. Its density of states at the Fermi level is 5.75 states/eV/cell.


Crystalline Zr3GaS at its relaxed geometry, computed with GGA-PBE.

a = 4.799 Å, b = 4.799 Å, c = 4.799 Å
α = 90.00°, β = 90.00°, γ = 90.00°
Sites, in units of the cell vectors:
1 Zr 0.000 0.000 0.500
2 Zr 0.000 0.500 0.000
3 Zr 0.500 0.000 0.000
4 Ga 0.500 0.500 0.500
5 S 0.000 0.000 0.000

Output
Its total magnetic moment is 0.00 Bohr magnetons per cell. The space-group type is Pm-3m, No. 221. The formation energy (no corrections) is -0.4337 eV per atom. The uncorrected energy is -35.0 eV/cell. Its density of states at the Fermi level is 7.41 states/eV/cell.


Crystalline BeTc4Pb at its relaxed geometry, computed with GGA-PBE.

a = 5.195 Å, b = 5.195 Å, c = 5.195 Å
α = 60.00°, β = 60.00°, γ = 60.00°
Sites, in units of the cell vectors:
1 Be 0.000 0.000 0.000
2 Tc 0.374 0.374 0.374
3 Tc 0.374 0.374 0.877
4 Tc 0.374 0.877 0.374
5 Tc 0.877 0.374 0.374
6 Pb 0.750 0.750 0.750

Output
Its formation energy is 4.209 eV/f.u. Its total magnetic moment is 0.00 Bohr magnetons per cell. The space-group type is F-43m, No. 216. The uncorrected energy is -44.7 eV/cell. Its density of states at the Fermi level is 4.46 states/eV/cell.


Crystalline KMgRhI2 at its relaxed geometry, computed with GGA-PBE.

a = 5.511 Å, b = 5.511 Å, c = 10.175 Å
α = 90.00°, β = 90.00°, γ = 90.00°
Sites, in units of the cell vectors:
1 K 0.000 0.000 0.000
2 Mg 0.000 0.000 0.500
3 Rh 0.500 0.500 0.000
4 I 0.000 0.500 0.500
5 I 0.500 0.000 0.500

Output
Its total magnetic moment is 2.08 Bohr magnetons per cell. The space-group type is P4/mmm, No. 123. The formation energy (no corrections) is 0.4145 eV per atom. The uncorrected energy is -11.1 eV/cell. Its density of states at the Fermi level is 3.55 states/eV/cell.


Crystalline HgB2Pd2 at its relaxed geometry, computed with GGA-PBE.

a = 6.938 Å, b = 6.938 Å, c = 2.949 Å
α = 90.00°, β = 90.00°, γ = 90.00°
Sites, in units of the cell vectors:
1 Hg 0.000 0.000 0.000
2 Hg 0.500 0.500 0.000
3 B 0.096 0.404 0.500
4 B 0.404 0.904 0.500
5 B 0.596 0.096 0.500
6 B 0.904 0.596 0.500
7 Pd 0.145 0.645 0.000
8 Pd 0.355 0.145 0.000
9 Pd 0.645 0.855 0.000
10 Pd 0.855 0.355 0.000

Output
Its formation energy is 2.994 eV/f.u. Its total magnetic moment is 0.00 Bohr magnetons per cell. The space-group type is P4/mbm, No. 127. The uncorrected energy is -42.1 eV/cell. Its density of states at the Fermi level is 0.89 states/eV/cell.


Crystalline InTeAs2 at its relaxed geometry, computed with GGA-PBE.

a = 8.471 Å, b = 8.471 Å, c = 8.471 Å
α = 139.22°, β = 139.22°, γ = 59.03°
Sites, in units of the cell vectors:
1 In 0.000 0.000 0.000
2 In 0.750 0.250 0.500
3 Te 0.250 0.750 0.500
4 Te 0.500 0.500 0.000
5 As 0.122 0.625 0.997
6 As 0.375 0.372 0.497
7 As 0.628 0.125 0.003
8 As 0.875 0.878 0.503

Output
Its total magnetic moment is 0.00 Bohr magnetons per cell. The space-group type is I-42d, No. 122. The formation energy (no corrections) is 0.1878 eV per atom. The uncorrected energy is -28.9 eV/cell. Its density of states at the Fermi level is 1.89 states/eV/cell.


Crystalline ZrMn2Cr at its relaxed geometry, computed with GGA-PBE.

a = 2.898 Å, b = 2.898 Å, c = 6.809 Å
α = 90.00°, β = 90.00°, γ = 90.00°
Sites, in units of the cell vectors:
1 Zr 0.000 0.000 0.000
2 Mn 0.500 0.500 0.300
3 Mn 0.500 0.500 0.700
4 Cr 0.000 0.000 0.500

Output
Its formation energy is 0.196 eV/f.u. Its total magnetic moment is 2.12 Bohr magnetons per cell. The space-group type is P4/mmm, No. 123. The uncorrected energy is -36.3 eV/cell. Its density of states at the Fermi level is 3.28 states/eV/cell.


Crystalline ZrAg2BPd at its relaxed geometry, computed with GGA-PBE.

a = 5.323 Å, b = 5.323 Å, c = 4.898 Å
α = 90.00°, β = 90.00°, γ = 90.00°
Sites, in units of the cell vectors:
1 Zr 0.000 0.000 0.000
2 Ag 0.000 0.500 0.000
3 Ag 0.500 0.000 0.000
4 B 0.500 0.500 0.500
5 Pd 0.000 0.000 0.500

Output
Its formation energy is 9.592 eV/f.u. Its total magnetic moment is 0.00 Bohr magnetons per cell. The space-group type is P4/mmm, No. 123. The uncorrected energy is -16.5 eV/cell. Its density of states at the Fermi level is 4.17 states/eV/cell.